A plane-wave DFT calculation with GGA-PBE was carried out for La2TlRh after structural relaxation.

## Properties
- ΔH_f (0 K) (eV/atom) = -0.4056
- E above lowest polymorph (meV per atom) = 203

Unit cell a=5.371 b=5.371 c=5.371 alpha=60.00 beta=60.00 gamma=60.00
Element x y z (fractional)
Tl: 0.500 0.500 0.500
Rh: 0.000 0.000 0.000
La: 0.250 0.250 0.250
La: 0.750 0.750 0.750

A plane-wave DFT calculation with GGA-PBE was carried out for LaTl2Rh after structural relaxation.

## Properties
- ΔH_f (0 K) (eV/atom) = -0.0116

Unit cell a=9.392 b=9.392 c=9.392 alpha=22.15 beta=22.15 gamma=22.15
Element x y z (fractional)
La: 0.500 0.500 0.500
Tl: 0.734 0.734 0.734
Tl: 0.266 0.266 0.266
Rh: 0.000 0.000 0.000

A plane-wave DFT calculation with GGA-PBE was carried out for La2TlRh after structural relaxation.

## Properties
- ΔH_f (0 K) (eV/atom) = -0.3660
- E above lowest polymorph (meV per atom) = 243

Unit cell a=8.289 b=8.289 c=6.778 alpha=52.31 beta=52.31 gamma=90.00
Element x y z (fractional)
Tl: 0.000 0.000 0.000
Tl: 0.750 0.250 0.500
Rh: 0.500 0.500 0.000
Rh: 0.250 0.750 0.500
La: 0.567 0.125 0.250
La: 0.183 0.625 0.250
La: 0.375 0.433 0.750
La: 0.875 0.817 0.750

A plane-wave DFT calculation with GGA-PBE was carried out for LaTl2Rh after structural relaxation.

## Properties
- ΔH_f (0 K) (eV/atom) = -0.2454

Unit cell a=4.348 b=4.348 c=5.302 alpha=90.00 beta=90.00 gamma=90.00
Element x y z (fractional)
La: 0.500 0.500 0.500
Tl: 0.000 0.500 0.000
Tl: 0.500 0.000 0.000
Rh: 0.000 0.000 0.500

A plane-wave DFT calculation with GGA-PBE was carried out for La5Tl2Rh after structural relaxation.

## Properties
- ΔH_f (0 K) (eV/atom) = -0.4593
- E above lowest polymorph (meV per atom) = 0

Unit cell a=4.945 b=8.263 c=12.611 alpha=90.00 beta=90.00 gamma=90.00
Element x y z (fractional)
La: 0.000 0.000 0.500
La: 0.000 0.500 0.000
La: 0.000 0.869 0.201
La: 0.000 0.131 0.799
La: 0.000 0.631 0.701
La: 0.000 0.369 0.299
La: 0.500 0.686 0.429
La: 0.500 0.314 0.571
La: 0.500 0.814 0.929
La: 0.500 0.186 0.071
Tl: 0.500 0.582 0.168
Tl: 0.500 0.418 0.832
Tl: 0.500 0.918 0.668
Tl: 0.500 0.082 0.332
Rh: 0.000 0.500 0.500
Rh: 0.000 0.000 0.000

A plane-wave DFT calculation with GGA-PBE was carried out for LaTlRh2 after structural relaxation.

## Properties
- ΔH_f (0 K) (eV/atom) = -0.2929

Unit cell a=3.545 b=3.545 c=6.552 alpha=90.00 beta=90.00 gamma=90.00
Element x y z (fractional)
La: 0.500 0.500 0.500
Tl: 0.500 0.500 0.000
Rh: 0.000 0.000 0.767
Rh: 0.000 0.000 0.233

A plane-wave DFT calculation with GGA-PBE was carried out for La2TlRh after structural relaxation.

## Properties
- ΔH_f (0 K) (eV/atom) = -0.2433
- E above lowest polymorph (meV per atom) = 366

Unit cell a=3.680 b=3.680 c=7.689 alpha=90.00 beta=90.00 gamma=90.00
Element x y z (fractional)
La: 0.000 0.000 0.998
La: 0.500 0.500 0.302
Tl: 0.500 0.500 0.716
Rh: 0.000 0.000 0.484

A plane-wave DFT calculation with GGA-PBE was carried out for La5Tl2Rh after structural relaxation.

## Properties
- ΔH_f (0 K) (eV/atom) = -0.2930
- E above lowest polymorph (meV per atom) = 166

Unit cell a=7.319 b=7.319 c=6.958 alpha=121.70 beta=121.69 gamma=90.03
Element x y z (fractional)
La: 0.734 0.234 0.969
La: 0.234 0.234 0.969
La: 0.734 0.734 0.968
La: 0.235 0.735 0.970
La: 0.756 0.755 0.509
Tl: 0.233 0.733 0.465
Tl: 0.733 0.233 0.465
Rh: 0.118 0.119 0.239

A plane-wave DFT calculation with GGA-PBE was carried out for La8Tl2Rh after structural relaxation.

## Properties
- ΔH_f (0 K) (eV/atom) = -0.3060
- E above lowest polymorph (meV per atom) = 0

Unit cell a=5.681 b=7.039 c=9.729 alpha=108.95 beta=106.98 gamma=90.00
Element x y z (fractional)
La: 0.408 0.593 0.816
La: 0.647 0.926 0.293
La: 0.791 0.754 0.581
La: 0.996 0.221 0.992
La: 0.209 0.246 0.419
La: 0.353 0.074 0.707
La: 0.592 0.407 0.184
La: 0.004 0.779 0.008
Tl: 0.823 0.310 0.647
Tl: 0.177 0.690 0.353
Rh: 0.500 0.000 0.000

A plane-wave DFT calculation with GGA-PBE was carried out for LaTl2Rh after structural relaxation.

## Properties
- ΔH_f (0 K) (eV/atom) = -0.3071

Unit cell a=4.938 b=4.938 c=4.814 alpha=90.00 beta=90.00 gamma=112.90
Element x y z (fractional)
La: 0.500 0.500 0.500
Tl: 0.820 0.180 0.000
Tl: 0.180 0.820 0.000
Rh: 0.000 0.000 0.500

A plane-wave DFT calculation with GGA-PBE was carried out for La2TlRh after structural relaxation.

## Properties
- ΔH_f (0 K) (eV/atom) = -0.3813
- E above lowest polymorph (meV per atom) = 228

Unit cell a=5.148 b=5.148 c=5.148 alpha=60.00 beta=60.00 gamma=60.00
Element x y z (fractional)
La: 0.000 0.000 0.000
La: 0.750 0.750 0.750
Tl: 0.250 0.250 0.250
Rh: 0.500 0.500 0.500

A plane-wave DFT calculation with GGA-PBE was carried out for La3TlRh8 after structural relaxation.

## Properties
- ΔH_f (0 K) (eV/atom) = -0.5182

Unit cell a=5.406 b=5.406 c=9.465 alpha=73.40 beta=73.40 gamma=60.00
Element x y z (fractional)
La: 0.375 0.375 0.874
La: 0.996 0.996 0.012
La: 0.504 0.504 0.489
Tl: 0.874 0.874 0.378
Rh: 0.937 0.437 0.188
Rh: 0.439 0.937 0.686
Rh: 0.437 0.437 0.188
Rh: 0.937 0.937 0.686
Rh: 0.188 0.188 0.436
Rh: 0.688 0.688 0.937
Rh: 0.437 0.937 0.188
Rh: 0.937 0.439 0.686

> The lowest ΔH_f (0 K) belongs to which entry?

La3TlRh8